Here is an optimized crystal structure of NaNi3Bi from Alexandria via LeMat-Bulk. Energies are from GGA-PBE.

Calculated values
Energy of formation from the pure elements in kJ/mol of atoms: 79.83
Total magnetization in Bohr magnetons per cell: 0.2

Cell: 4.8859 4.8859 4.8859 Å, 90.00 90.00 90.00°
Space group Pm-3m (No. 221)
Unique sites:
Na: 0.0000 0.0000 0.0000 x1
Ni: 0.0000 0.5000 0.5000 x3
Bi: 0.5000 0.5000 0.5000 x1